Entry from Alexandria via LeMat-Bulk: a relaxed Tb4CeAl5 crystal (GGA-PBE).

Properties
Total moment (μB per cell): 0.73
DOS(E_F) (states/eV per atom): 0.815
Crystal system: tetragonal
Energy of formation from the pure elements (meV per atom): -369
Density (g cm⁻³): 6.3

a = 3.5838 Å, b = 3.5838 Å, c = 18.5651 Å
α = 90.00°, β = 90.00°, γ = 90.00°
Closest atoms and distances in Å follow each position.
Space group P4/mmm (No. 123)
Symmetry-distinct sites (fractional):
Tb 0.0000 0.0000 0.0986 x2  8 Al 3.13
Tb 0.0000 0.0000 0.2955 x2  8 Al 3.12-3.13
Ce 0.0000 0.0000 0.5000 x1  8 Al 3.21, 4 Ce 3.58
Al 0.5000 0.5000 0.0000 x1  8 Tb 3.13
Al 0.5000 0.5000 0.1973 x2  8 Tb 3.12-3.13
Al 0.5000 0.5000 0.3941 x2  4 Tb 3.13, 4 Ce 3.21